Cs2KMgSb | PBE-GGA | optimized geometry

Results
Volume (Å³/atom): 63.8
Size of the total moment (Bohr magnetons per cell): 0.601
Excess energy over the best structure of this formula in the dataset (meV/atom): 637

a b c (Å): 7.1825 7.1825 6.1790
angles (deg): 90.00 90.00 90.00
Fractional coordinates of all 5 atoms:
Cs: 0.0000 0.5000 0.0000
Cs: 0.5000 0.0000 0.0000
K: 0.0000 0.0000 0.0000
Mg: 0.0000 0.0000 0.5000
Sb: 0.5000 0.5000 0.5000